A geometry-optimized KCr2GaO8 structure, computed with PBE+U.

Unit cell a=5.2674 b=5.2674 c=7.6907 alpha=90.00 beta=90.00 gamma=120.00
With the nearest neighbours (Å) after each atom.
Space group P-3 (No. 147)
Inequivalent atoms, fractional coordinates:
K  0.0000  0.0000  0.0000 x1  12 O 3.08-3.09
Cr  0.3333  0.6667  0.7225 x2  4 O 1.63-1.68
Ga  0.0000  0.0000  0.5000 x1  6 O 1.98
O  0.0788  0.3313  0.6551 x6  1 Cr 1.68
O  0.3333  0.6667  0.9340 x2  1 Cr 1.63

Computed properties:
Volume: 184.8 Å³ per cell
Total DFT energy (no corrections): -6.35 eV per atom
Mass density: 3.1 g cm⁻³